This record from the Alexandria database describes a relaxed TbPr3Sm crystal. The functional is PBE.

## Properties
The calculation puts the spin magnetization at 0.00 μB per cell. Its symmetry is No. 12. The calculation puts the energy above the lowest structure with this stoichiometry at 0 meV per atom. The value obtained for the formation energy is 180 meV per atom.

Unit cell a=9.4789 b=9.4789 c=6.1412 alpha=108.44 beta=108.44 gamma=42.93
Last column: nearest neighbours and their distance in Å.
Atoms (fractional coordinates):
Tb (0.0508, 0.0508, 0.2997)  2 Tb 3.50, 7 Pr 3.71-3.87, 4 Sm 3.89
Tb (0.9492, 0.9492, 0.7003)  2 Tb 3.50, 7 Pr 3.71-3.87, 4 Sm 3.89
Pr (0.0809, 0.6150, 0.0986)  2 Pr 3.23-3.26, 2 Sm 3.48-3.49
Pr (0.2744, 0.2744, 0.5268)  6 Pr 3.56-3.79, 1 Tb 3.71
Pr (0.3850, 0.9191, 0.9014)  2 Pr 3.23-3.26, 2 Sm 3.48-3.49
Pr (0.6150, 0.0809, 0.0986)  2 Pr 3.23-3.26, 2 Sm 3.48-3.49
Pr (0.7256, 0.7256, 0.4732)  6 Pr 3.56-3.79, 1 Tb 3.71
Pr (0.9191, 0.3850, 0.9014)  2 Pr 3.23-3.26, 2 Sm 3.48-3.49
Sm (0.5000, 0.5000, 0.0000)  2 Sm 3.07
Sm (0.5000, 0.5000, 0.5000)  2 Sm 3.07